Arrangement P

9
Lattice="0.235 -4.403 -3.559 5.723 1.123 -1.011 -1.570 -3.638 4.397" Properties=species:S:1:pos:R:3 comment="Ho2AlGa6 | Alexandria via LeMat-Bulk | PBE | relaxed" crystal_system=trigonal dos_ef_per_ev_fu=3.14 pbc="T T T"
Ga 3.844 -4.351 -0.397
Ga 1.936 -3.195 -1.952
Ga -0.179 -4.239 2.243
Ga 0.543 -2.567 0.223
Ga 2.451 -3.723 1.779
Ga 4.566 -2.679 -2.417
Al 0.000 0.000 0.000
Ho 1.062 -5.823 -0.455
Ho 3.325 -1.095 0.281

Arrangement Q

9
Lattice="-1.497 2.881 -0.723 -4.840 -3.545 -4.106 -2.168 0.918 8.199" Properties=species:S:1:pos:R:3 comment="Ho2AlGa6 | Alexandria via LeMat-Bulk | PBE | relaxed" crystal_system=monoclinic dos_ef_per_ev_fu=4.43 pbc="T T T"
Ga -4.075 -0.996 -3.184
Ga -3.704 1.991 0.317
Ga -1.713 0.525 5.673
Ga -4.801 -1.737 3.053
Ga -2.262 0.332 -1.645
Ga -6.792 -0.270 -2.303
Ho -3.500 0.927 3.325
Ho -5.005 -0.672 0.045
Al 0.000 0.000 0.000

Most stable one: arrangement P, least stable one: arrangement Q.

Arrangement P

6
Lattice="-5.171 1.151 -1.398 -4.150 -2.009 2.959 -3.005 3.346 3.130" Properties=species:S:1:pos:R:3 comment="HoAl4Ga | Alexandria via LeMat-Bulk | PBE | relaxed" crystal_system=cubic dos_ef_per_ev_fu=3.41 pbc="T T T"
Ho -3.082 0.622 1.173
Al -6.201 -0.115 1.369
Al -5.121 0.980 3.628
Al -7.700 1.554 2.930
Al -5.630 2.556 1.455
Ga 0.000 0.000 0.000

Arrangement Q

6
Lattice="3.965 0.000 -1.345 0.000 4.226 0.000 0.030 0.000 6.606" Properties=species:S:1:pos:R:3 comment="HoAl4Ga | Alexandria via LeMat-Bulk | PBE | relaxed" crystal_system=orthorhombic dos_ef_per_ev_fu=2.18 pbc="T T T"
Al 1.299 0.000 3.831
Al 2.696 4.226 1.431
Al 0.702 2.113 2.070
Al 3.293 2.113 3.191
Ho 0.000 0.000 0.000
Ga 1.983 2.113 -0.672

Arrangement R

12
Lattice="5.148 0.000 0.000 0.000 5.148 0.000 -2.574 -2.574 10.210" Properties=species:S:1:pos:R:3 comment="HoAl4Ga | Alexandria via LeMat-Bulk | PBE | relaxed" crystal_system=tetragonal dos_ef_per_ev_fu=2.41 pbc="T T T"
Ga 0.000 2.574 5.105
Ga 2.574 2.574 0.000
Al 2.574 1.263 2.143
Al 0.000 1.263 2.962
Al 0.000 3.885 2.962
Al -1.311 2.574 7.248
Al 1.311 0.000 8.067
Al 1.311 2.574 7.248
Al -1.311 0.000 8.067
Al 2.574 3.885 2.143
Ho 0.000 0.000 0.000
Ho 2.574 0.000 5.105

Most stable one: arrangement Q, least stable one: arrangement R.

Arrangement P

7
Lattice="4.689 0.000 0.000 0.000 4.689 0.000 -2.345 -2.345 7.660" Properties=species:S:1:pos:R:3 comment="Ho2AlGa4 | Alexandria via LeMat-Bulk | PBE | relaxed" crystal_system=tetragonal dos_ef_per_ev_fu=6.28 pbc="T T T"
Ga 2.345 2.345 1.890
Ga 0.000 0.000 5.771
Ga 2.345 0.000 0.000
Ga 0.000 2.345 0.000
Al 0.000 0.000 0.000
Ho 0.000 0.000 2.832
Ho 2.345 2.345 4.828

Arrangement Q

7
Lattice="4.176 0.000 0.000 0.000 5.910 -0.704 0.000 1.182 5.833" Properties=species:S:1:pos:R:3 comment="Ho2AlGa4 | Alexandria via LeMat-Bulk | PBE | relaxed" crystal_system=orthorhombic dos_ef_per_ev_fu=4.00 pbc="T T T"
Al 2.088 3.546 2.565
Ga 2.088 0.591 2.916
Ga 0.000 1.846 1.335
Ga 0.000 5.246 3.794
Ga 2.088 2.955 -0.352
Ho 0.000 4.813 0.812
Ho 0.000 2.279 4.317

Most stable one: arrangement Q, least stable one: arrangement P.

Arrangement P

7
Lattice="4.137 0.000 0.000 2.069 3.583 0.000 2.069 1.194 10.110" Properties=species:S:1:pos:R:3 comment="HoAl2Ga4 | Alexandria via LeMat-Bulk | PBE | relaxed" crystal_system=trigonal dos_ef_per_ev_fu=2.88 pbc="T T T"
Ga 6.206 3.583 8.294
Ga 2.069 1.194 7.086
Ga 2.069 1.194 1.816
Ga 6.206 3.583 3.024
Al 6.206 3.583 5.694
Al 2.069 1.194 4.417
Ho 0.000 0.000 0.000

Arrangement Q

7
Lattice="3.982 0.000 0.000 0.000 3.982 0.000 0.000 0.000 9.536" Properties=species:S:1:pos:R:3 comment="HoAl2Ga4 | Alexandria via LeMat-Bulk | PBE | relaxed" crystal_system=tetragonal dos_ef_per_ev_fu=3.25 pbc="T T T"
Ga 2.956 1.026 7.048
Ga 1.026 1.026 2.487
Ga 2.956 2.956 2.487
Ga 1.026 2.956 7.048
Al 1.991 0.000 4.768
Al 0.000 1.991 4.768
Ho 0.000 0.000 0.000

Most stable one: arrangement P, least stable one: arrangement Q.

Arrangement P

4
Lattice="-3.499 -1.963 1.914 -0.949 -1.800 -3.582 4.939 -3.386 0.394" Properties=species:S:1:pos:R:3 comment="PmHoAlGa | Alexandria via LeMat-Bulk | PBE | relaxed" crystal_system=orthorhombic dos_ef_per_ev_fu=3.69 pbc="T T T"
Ga -1.758 -2.520 -0.636
Al 2.725 -3.732 1.154
Ho 0.068 -5.020 0.137
Pm 0.895 -1.226 0.379

Arrangement Q

4
Lattice="5.135 0.000 0.000 2.567 4.447 0.000 2.567 1.482 4.192" Properties=species:S:1:pos:R:3 comment="PmHoAlGa | Alexandria via LeMat-Bulk | PBE | relaxed" crystal_system=cubic dos_ef_per_ev_fu=1.39 pbc="T T T"
Ga 2.567 1.482 1.048
Ho 0.000 0.000 0.000
Pm 5.135 2.965 2.096
Al 7.702 4.447 3.144

Most stable one: arrangement P, least stable one: arrangement Q.

Arrangement P

4
Lattice="-1.679 0.050 -4.109 -3.788 -0.346 1.543 0.430 5.514 2.289" Properties=species:S:1:pos:R:3 comment="SmHoAlGa | Alexandria via LeMat-Bulk | PBE | relaxed" crystal_system=orthorhombic dos_ef_per_ev_fu=3.62 pbc="T T T"
Ho -3.028 3.829 -1.115
Ga -2.794 0.672 -1.248
Sm -0.115 1.549 0.066
Al -0.350 4.731 0.200

Arrangement Q

4
Lattice="5.121 0.000 0.000 2.561 4.435 0.000 2.561 1.478 4.181" Properties=species:S:1:pos:R:3 comment="SmHoAlGa | Alexandria via LeMat-Bulk | PBE | relaxed" crystal_system=cubic dos_ef_per_ev_fu=1.42 pbc="T T T"
Ho 5.121 2.957 2.091
Ga 2.561 1.478 1.045
Sm 0.000 0.000 0.000
Al 7.682 4.435 3.136

Most stable one: arrangement P, least stable one: arrangement Q.